1.
The following is a DFT calculation (PBE-GGA) of a geometry-optimized LiTiBi2 structure.

Properties
* energy relative to the lowest polymorph listed for this composition: 20 meV per atom
* energy of formation: -150 meV/atom
* energy: -4.543 eV/atom
* DOS(E_F): 5.821 states/eV/cell

a b c (Å): 4.2301 4.2301 19.5980
angles (deg): 90.00 90.00 120.00
Closest atoms and distances in Å follow each position.
Space group R3m (No. 160, hexagonal axes)
Inequivalent atoms, fractional coordinates:
Li  0.0000  0.0000  0.0000 x3  6 Bi 2.96-3.02
Ti  0.0000  0.0000  0.1699 x3  6 Bi 2.88-2.90
Bi  0.0000  0.0000  0.5814 x3  3 Ti 2.88, 3 Li 2.96
Bi  0.0000  0.0000  0.7571 x3  3 Ti 2.90, 3 Li 3.02



2.
The following is a DFT calculation (PBE-GGA) of a geometry-optimized MnNi3Pb structure.

Properties
* energy relative to the lowest polymorph listed for this composition: 0 meV per atom
* energy of formation: 900 meV/atom
* energy: -5.145 eV/atom
* DOS(E_F): 6.990 states/eV/cell

a b c (Å): 4.3553 4.3553 4.3553
angles (deg): 90.00 90.00 90.00
Closest atoms and distances in Å follow each position.
Space group Pm-3m (No. 221)
Inequivalent atoms, fractional coordinates:
Mn  0.0000  0.0000  0.0000 x1  6 Ni 2.18
Ni  0.0000  0.0000  0.5000 x3  2 Mn 2.18
Pb  0.5000  0.5000  0.5000 x1  12 Ni 3.08



3.
The following is a DFT calculation (PBE-GGA) of a geometry-optimized Nd5Tl2Ag structure.

Properties
* energy of formation: -207 meV/atom
* energy: -4.135 eV/atom
* DOS(E_F): 21.642 states/eV/cell

a b c (Å): 7.1999 7.1999 9.1113
angles (deg): 90.00 90.00 90.00
Closest atoms and distances in Å follow each position.
Space group I4mm (No. 107)
Inequivalent atoms, fractional coordinates:
Nd  0.0000  0.0000  0.0000 x2  8 Nd 3.42, 4 Tl 3.60
Nd  0.2501  0.2501  0.2498 x8  2 Ag 3.41-3.42, 6 Nd 3.42-3.60, 4 Tl 3.42
Tl  0.0000  0.5000  0.9998 x4  10 Nd 3.42-3.60, 2 Ag 3.60
Ag  0.0000  0.0000  0.4990 x2  8 Nd 3.41-3.42, 4 Tl 3.60